## Cs2PaHgSe4 (PBE)

Data for crystalline Cs2PaHgSe4 at its relaxed geometry.

Cell: 6.6560 8.3949 13.7754 Å, 84.50 76.02 66.64°
Element x y z (fractional)
Se: 0.4591 0.7074 0.3903
Se: 0.9165 0.7926 0.8903
Se: 0.1932 0.2074 0.8903
Se: 0.1506 0.2926 0.3903
Se: 0.8335 0.7074 0.6097
Se: 0.2909 0.7926 0.1097
Se: 0.5568 0.2926 0.6097
Se: 0.5994 0.2074 0.1097
Pa: 0.7500 0.5000 0.5000
Pa: 0.0000 0.0000 0.0000
Cs: 0.8197 0.0000 0.3606
Cs: 0.1803 0.0000 0.6394
Cs: 0.5697 0.5000 0.8606
Cs: 0.9303 0.5000 0.1394
Hg: 0.5000 0.0000 0.0000
Hg: 0.2500 0.5000 0.5000

Summary:
Total magnetization ... 1.984 μB/cell
E_form (uncorrected) ... -0.986 eV per atom
Raw total energy ... -4.17 eV/atom


## Cs3PaHg2Se6 (PBE)

Data for crystalline Cs3PaHg2Se6 at its relaxed geometry.

Cell: 8.4935 8.4935 8.2965 Å, 95.81 95.81 129.71°
Element x y z (fractional)
Cs: 0.8153 0.1847 0.5000
Cs: 0.1847 0.8153 0.5000
Cs: 0.5000 0.5000 0.5000
Se: 0.1646 0.1646 0.7452
Se: 0.6103 0.8852 0.8313
Se: 0.1148 0.3897 0.1687
Se: 0.8852 0.6103 0.8313
Se: 0.3897 0.1148 0.1687
Se: 0.8354 0.8354 0.2548
Hg: 0.3667 0.6333 0.0000
Hg: 0.6333 0.3667 0.0000
Pa: 0.0000 0.0000 0.0000

Summary:
Total magnetization ... 0.000 μB/cell
E_form (uncorrected) ... -0.957 eV per atom
Raw total energy ... -3.75 eV/atom


## CsPaHgTe3 (PBE)

Data for crystalline CsPaHgTe3 at its relaxed geometry.

Cell: 7.6396 8.2549 10.3596 Å, 66.52 84.24 75.41°
Element x y z (fractional)
Hg: 0.2500 0.6047 0.7905
Hg: 0.7500 0.3953 0.2095
Te: 0.9850 0.2733 0.9264
Te: 0.4850 0.1997 0.0736
Te: 0.7500 0.2033 0.5933
Te: 0.2500 0.7967 0.4067
Te: 0.0150 0.7267 0.0736
Te: 0.5150 0.8003 0.9264
Pa: 0.7500 0.0525 0.8950
Pa: 0.2500 0.9475 0.1050
Cs: 0.2500 0.2784 0.4431
Cs: 0.7500 0.7216 0.5569

Summary:
Total magnetization ... 0.000 μB/cell
E_form (uncorrected) ... -0.653 eV per atom
Raw total energy ... -4.00 eV/atom


## Cs3PaHg2Te6 (PBE)

Data for crystalline Cs3PaHg2Te6 at its relaxed geometry.

Cell: 8.9614 8.9614 8.8714 Å, 96.24 96.24 129.26°
Element x y z (fractional)
Hg: 0.3632 0.6368 0.0000
Hg: 0.6368 0.3632 0.0000
Te: 0.1125 0.3941 0.1709
Te: 0.8875 0.6059 0.8291
Te: 0.8307 0.8307 0.2558
Te: 0.1693 0.1693 0.7442
Te: 0.3941 0.1125 0.1709
Te: 0.6059 0.8875 0.8291
Cs: 0.5000 0.5000 0.5000
Cs: 0.8127 0.1873 0.5000
Cs: 0.1873 0.8127 0.5000
Pa: 0.0000 0.0000 0.0000

Summary:
Total magnetization ... 0.000 μB/cell
E_form (uncorrected) ... -0.709 eV per atom
Raw total energy ... -3.33 eV/atom


## Cs3Pa3HgTe8 (PBE)

Data for crystalline Cs3Pa3HgTe8 at its relaxed geometry.

Cell: 9.1833 9.1825 10.3584 Å, 116.31 90.00 120.00°
Element x y z (fractional)
Te: 0.7587 0.5174 0.3120
Te: 0.7054 0.9467 0.6879
Te: 0.7587 0.0533 0.3120
Te: 0.2946 0.0533 0.3121
Te: 0.7310 0.4621 0.6931
Te: 0.2413 0.4826 0.6880
Te: 0.2413 0.9467 0.6880
Te: 0.2690 0.5379 0.3069
Pa: 0.5000 0.5000 0.5000
Pa: 0.5000 0.0000 0.5000
Pa: 0.0000 0.5000 0.5000
Cs: 0.5000 0.5000 0.0000
Cs: 0.0000 0.5000 0.0000
Cs: 0.0000 0.0000 0.0000
Hg: 0.0000 0.0000 0.5000

Summary:
Total magnetization ... 2.932 μB/cell
E_form (uncorrected) ... -0.823 eV per atom
Raw total energy ... -4.59 eV/atom


## Cs2HgPb (PBE)

Data for crystalline Cs2HgPb at its relaxed geometry.

Cell: 4.1052 6.8249 6.8249 Å, 90.00 90.00 90.00°
Element x y z (fractional)
Cs: 0.0000 0.0000 0.5000
Cs: 0.0000 0.5000 0.0000
Hg: 0.5000 0.0000 0.0000
Pb: 0.5000 0.5000 0.5000

Summary:
ΔH_f (0 K) ... -51 meV per atom
Total magnetization ... 0.008 μB/cell
Raw total energy ... -1.48 eV/atom